An optimized crystal structure of Y5Te3, computed with PBE-GGA.

It has space group P6_3/mcm (No. 193), with a = 9.0518 Å, b = 9.0518 Å, c = 6.1607 Å, α = 90.00°, β = 90.00° and γ = 120.00°. The inequivalent atoms are Y at (0.0000, 0.2556, 0.2500), Y at (0.3333, 0.6667, 0.0000) and Te at (0.0000, 0.3844, 0.7500).

The uncorrected formation energy comes out at -7.7 eV/f.u. As for the final energy: -6.176 eV/atom. The value obtained for the total magnetization is 0.00 μB per atom. The density of states at the Fermi level is 8.5 states/eV per cell.